This record from OQMD via LeMat-Bulk describes a relaxed structure of Nd2Dy2CBr5. The functional is PBE.

a = 9.234 Å, b = 9.234 Å, c = 8.435 Å
α = 102.58°, β = 102.58°, γ = 24.43°
Element x y z (fractional)
Nd 0.999 0.999 0.205
Br 0.174 0.174 0.845
Br 0.826 0.826 0.155
Dy 0.637 0.637 0.071
Dy 0.363 0.363 0.929
Br 0.168 0.168 0.325
Br 0.500 0.500 0.500
Br 0.832 0.832 0.675
C 0.500 0.500 0.000
Nd 0.001 0.001 0.795

Results
total moment = 0.1 μB/cell
ΔE to the lowest computed polymorph = 0 meV per atom
space-group type = C2/m (12)
final energy = -5.066 eV/atom